# 1
Entry from Alexandria via LeMat-Bulk: a relaxed NaTl6In3 crystal (GGA-PBE).

Cell: 6.2908 11.2771 11.2771 Å, 132.32 90.00 90.00°
Element x y z (fractional)
Tl: 0.0485 0.7577 0.6270
Tl: 0.3292 0.4515 0.9027
Tl: 0.5485 0.2423 0.3730
Tl: 0.2781 0.9957 0.0043
Tl: 0.0485 0.3730 0.2423
Tl: 0.5485 0.6270 0.7577
Tl: 0.8292 0.5485 0.0973
Tl: 0.2978 0.6949 0.3051
Tl: 0.7978 0.3051 0.6949
Tl: 0.3292 0.0973 0.5485
Tl: 0.7781 0.0043 0.9957
Tl: 0.8292 0.9027 0.4515
In: 0.0146 0.6985 0.9389
In: 0.0146 0.0611 0.3015
In: 0.0997 0.4342 0.5658
In: 0.5146 0.3015 0.0611
In: 0.5997 0.5658 0.4342
In: 0.5146 0.9389 0.6985
Na: 0.0250 0.1560 0.8440
Na: 0.5250 0.8440 0.1560

The distance to the lowest polymorph of the same formula is 0.0000 eV per atom. As for the space-group type: Cmc2_1, No. 36. Its theoretical density is 8.95 g/cm³. The value obtained for the energy relative to the elements is -0.0082 eV/atom.

---

# 2
Entry from Alexandria via LeMat-Bulk: a relaxed Th2As6Pd21 crystal (GGA-PBE).

Cell: 8.8803 8.8803 8.8803 Å, 60.00 60.00 60.00°
Element x y z (fractional)
As: 0.7392 0.7392 0.2609
As: 0.2609 0.7392 0.2609
As: 0.7392 0.2609 0.2609
As: 0.2609 0.7392 0.7392
As: 0.7392 0.2609 0.7392
As: 0.2609 0.2609 0.7392
Pd: 0.0000 0.0000 0.0000
Pd: 0.0000 0.6512 0.3488
Pd: 0.3825 0.8525 0.3825
Pd: 0.3825 0.3825 0.8525
Pd: 0.8525 0.3825 0.3825
Pd: 0.6175 0.6175 0.1475
Pd: 0.6512 0.3488 0.0000
Pd: 0.3488 0.6512 0.0000
Pd: 0.3825 0.3825 0.3825
Pd: 0.1475 0.6175 0.6175
Pd: 0.0000 0.0000 0.3488
Pd: 0.0000 0.0000 0.6512
Pd: 0.3488 0.0000 0.6512
Pd: 0.6512 0.0000 0.3488
Pd: 0.6512 0.0000 0.0000
Pd: 0.0000 0.3488 0.6512
Pd: 0.6175 0.6175 0.6175
Pd: 0.0000 0.6512 0.0000
Pd: 0.0000 0.3488 0.0000
Pd: 0.3488 0.0000 0.0000
Pd: 0.6175 0.1475 0.6175
Th: 0.7500 0.7500 0.7500
Th: 0.2500 0.2500 0.2500

As for the space-group type: Fm-3m, No. 225. Its theoretical density is 10.56 g/cm³. The value obtained for the energy relative to the elements is -0.5270 eV/atom.

---

# 3
Entry from Alexandria via LeMat-Bulk: a relaxed Cd2InTc crystal (GGA-PBE).

Cell: 4.0666 4.0666 10.6661 Å, 79.01 79.01 90.00°
Site moments in Bohr magnetons follow the coordinates.
Element x y z (fractional)
In: 0.7500 0.2500 0.5000  -0.04
In: 0.0000 0.0000 0.0000  -0.04
Cd: 0.8750 0.8585 0.7500  0.00
Cd: 0.3750 0.3915 0.7500  0.00
Cd: 0.1415 0.6250 0.2500  0.00
Cd: 0.6085 0.1250 0.2500  0.00
Tc: 0.2500 0.7500 0.5000  0.81
Tc: 0.5000 0.5000 0.0000  0.80

As for the space-group type: I-42d, No. 122. Its theoretical density is 8.56 g/cm³. The value obtained for the energy relative to the elements is 0.5512 eV/atom.